# 1
A PBEsol-optimized structure of BiOsIN2. Source: the Alexandria database, functional SCAN.

Lattice parameters (Å, degrees): 4.0465 4.0465 5.5116 90.00 90.00 90.00
Each line ends with the local moment (μB).
Fractional coordinates of all 5 atoms:
I1 0.0000 0.0000 0.5000  0.00
Os1 0.0000 0.0000 0.0000  -0.10
Bi1 0.5000 0.5000 0.5000  0.00
N1 0.0000 0.5000 0.0000  0.23
N2 0.5000 0.0000 0.0000  0.23

Output
As for the total magnetization: 0.5 μB/f.u. The energy relative to the elements, uncorrected comes out at 1323 meV/atom. As for the symmetry: P4/mmm (123).

---

# 2
A PBEsol-optimized structure of TlTc2Sb. Source: the Alexandria database, functional SCAN.

Lattice parameters (Å, degrees): 3.9904 3.9904 5.2227 112.46 112.46 90.00
Fractional coordinates of all 4 atoms:
Sb1 0.2500 0.7500 0.5000
Tc1 0.0000 0.0000 0.0000
Tc2 0.7500 0.2500 0.5000
Tl1 0.5000 0.5000 0.0000

Output
The value obtained for the relative energy among the computed polymorphs is 50.0 meV/atom. As for the total magnetization: 0.0 μB/f.u. The energy relative to the elements, uncorrected comes out at 804 meV/atom. As for the symmetry: I-4m2 (119).

---

# 3
A PBEsol-optimized structure of CaSi2W. Source: the Alexandria database, functional SCAN.

Lattice parameters (Å, degrees): 3.8533 3.8533 5.2320 111.61 111.61 90.00
Fractional coordinates of all 4 atoms:
Ca1 0.2500 0.7500 0.5000
Si1 0.0000 0.0000 0.0000
Si2 0.7500 0.2500 0.5000
W1 0.5000 0.5000 0.0000

Output
The value obtained for the relative energy among the computed polymorphs is 75.8 meV/atom. As for the total magnetization: 0.0 μB/f.u. The energy relative to the elements, uncorrected comes out at 555 meV/atom. As for the symmetry: I-4m2 (119).

---

# 4
A PBEsol-optimized structure of Te4Ir. Source: the Alexandria database, functional SCAN.

Lattice parameters (Å, degrees): 5.6167 5.6167 5.6167 109.47 109.47 109.47
Fractional coordinates of all 5 atoms:
Ir1 0.0000 0.0000 0.0000
Te1 0.0000 0.0000 0.5000
Te2 0.0000 0.5000 0.0000
Te3 0.5000 0.0000 0.0000
Te4 0.5000 0.5000 0.5000

Output
The value obtained for the relative energy among the computed polymorphs is 198.3 meV/atom. As for the total magnetization: 0.0 μB/f.u. The energy relative to the elements, uncorrected comes out at 317 meV/atom. As for the symmetry: Im-3m (229).

---

# 5
A PBEsol-optimized structure of La2Mg2Cd. Source: the Alexandria database, functional SCAN.

Lattice parameters (Å, degrees): 5.2329 7.2989 7.2989 90.00 90.00 90.00
Fractional coordinates of all 10 atoms:
Mg1 0.0000 0.3580 0.8580
Mg2 0.0000 0.8580 0.6420
Mg3 0.0000 0.6420 0.1420
Mg4 0.0000 0.1420 0.3580
Cd1 0.0000 0.0000 0.0000
Cd2 0.0000 0.5000 0.5000
La1 0.5000 0.1614 0.6614
La2 0.5000 0.6614 0.8386
La3 0.5000 0.8386 0.3386
La4 0.5000 0.3386 0.1614

Output
As for the energy of formation from the pure elements: -198 meV/atom. As for the total magnetization: 0.0 μB/f.u. As for the symmetry: P4/mbm (127).

---

# 6
A PBEsol-optimized structure of Mg3Tc2. Source: the Alexandria database, functional SCAN.

Lattice parameters (Å, degrees): 3.0415 3.0415 9.7338 98.99 98.99 90.00
Fractional coordinates of all 5 atoms:
Mg1 0.3808 0.3808 0.7616
Mg2 0.0000 0.0000 0.0000
Mg3 0.6192 0.6192 0.2384
Tc1 0.2148 0.2148 0.4296
Tc2 0.7852 0.7852 0.5704

Output
The value obtained for the relative energy among the computed polymorphs is 0.0 meV/atom. As for the energy of formation from the pure elements: -33 meV/atom. As for the total magnetization: 0.0 μB/f.u. As for the symmetry: I4/mmm (139).